Model i:
Material: Ta2Bi2F
Method: DFT, PBE
State: relaxed

POSCAR file:
```
Ta2Bi2F
1.0
-0.569 0.192 3.664
-0.997 -3.576 0.032
7.309 -3.936 3.222
F Bi Ta
1 2 2
Cartesian
0.000 0.000 0.000
0.857 -2.147 2.127
4.886 -5.174 4.792
2.979 -2.718 4.367
2.765 -4.602 2.551
```

Properties
- Calculated volume: 23.5 A^3/atom
- Magnetization: 0.00 μB per cell


Model ii:
Material: Ta2Bi2F
Method: DFT, PBE
State: relaxed

POSCAR file:
```
Ta2Bi2F
1.0
8.025 0.000 0.000
0.000 8.025 0.000
0.000 0.000 3.537
F Bi Ta
2 4 4
Cartesian
0.000 0.000 0.000
4.013 4.013 0.000
2.669 6.682 0.000
6.682 5.356 0.000
5.356 1.343 0.000
1.343 2.669 0.000
0.972 4.985 1.769
4.985 7.053 1.769
7.053 3.040 1.769
3.040 0.972 1.769
```

Properties
- Calculated volume: 22.8 A^3/atom
- Magnetization: 0.00 μB per cell


Quick ranking, most stable first: model i, model ii.


Model i:
Material: TbBiF
Method: DFT, PBE
State: relaxed

POSCAR file:
```
TbBiF
1.0
-2.005 3.587 -2.770
-0.293 -2.535 -3.070
-3.005 0.334 2.607
Tb Bi F
1 1 1
Cartesian
-0.334 0.598 -0.462
-2.533 0.812 -3.025
-2.435 -0.025 0.252
```

Properties
- Calculated volume: 22.8 A^3/atom
- Magnetization: 0.00 μB per cell


Model ii:
Material: TbBiF
Method: DFT, PBE
State: relaxed

POSCAR file:
```
TbBiF
1.0
-2.006 2.625 -1.518
-6.611 -5.496 -0.767
0.787 3.804 9.893
F Tb Bi
4 4 4
Cartesian
-2.857 -0.143 3.529
-0.776 1.411 3.466
-7.055 -0.478 4.142
-4.973 1.076 4.079
-4.818 -1.207 4.281
-1.815 5.036 6.755
-3.012 2.140 3.327
-6.015 -4.103 0.853
-2.531 1.886 6.607
-2.326 0.778 0.065
-5.300 -0.954 1.001
-5.504 0.155 7.543
```

Properties
- Calculated volume: 25.4 A^3/atom
- Magnetization: 0.00 μB per cell


Quick ranking, most stable first: model ii, model i.